Below is crystalline RbV2ZnAg at its relaxed geometry, with properties calculated at the GGA-PBE level.

Geometry as POSCAR:
```
RbV2ZnAg
1.0
-1.8298 4.1882 -2.6074
-4.7129 -0.6616 2.2447
1.3940 2.9776 3.8045
Zn Rb Ag V
1 1 1 2
Direct
0.0000 0.0000 0.5000
0.5000 0.5000 0.5000
0.0000 0.0000 0.0000
0.0000 0.5000 0.0000
0.5000 0.0000 0.0000
```

Properties
Uncorrected energy   -3.50 eV/atom
DFT formation energy   1.16 eV/atom
Theoretical density   4.30 Mg/m³
Magnetization   7.409 Bohr magnetons per cell